Record 1
Entry from Alexandria via LeMat-Bulk: an optimized crystal structure of TbPu2OsC4 (PBE).

Cell lengths 3.5146, 6.0163, 12.1226 Å; angles 90.00, 90.00, 106.98 degrees
With the nearest neighbours (Å) after each atom.
Atoms (fractional coordinates):
Tb (0.1073, 0.2146, 0.7500)  6 C 2.65-2.77
Tb (0.8927, 0.7854, 0.2500)  6 C 2.65-2.77
Pu (0.3696, 0.7391, 0.5398)  5 C 2.36-2.53
Pu (0.6304, 0.2609, 0.0398)  5 C 2.36-2.53
Pu (0.6304, 0.2609, 0.4602)  5 C 2.36-2.53
Pu (0.3696, 0.7391, 0.9602)  5 C 2.36-2.53
Os (0.8452, 0.6904, 0.7500)  4 C 1.93-2.04
Os (0.1548, 0.3096, 0.2500)  4 C 1.93-2.04
C (0.2596, 0.5193, 0.1260)  1 Os 1.93
C (0.7404, 0.4807, 0.6260)  1 Os 1.93
C (0.7404, 0.4807, 0.8740)  1 Os 1.93
C (0.2596, 0.5193, 0.3740)  1 Os 1.93
C (0.0000, 0.0000, 0.5000)  4 Pu 2.36
C (0.0000, 0.0000, 0.0000)  4 Pu 2.36
C (0.4348, 0.8696, 0.7500)  2 Os 2.04
C (0.5652, 0.1304, 0.2500)  2 Os 2.04

- Total DFT energy (no corrections): -10.0825 eV per atom
- ΔH_f (0 K): 0.095 eV per atom


Record 2
Entry from Alexandria via LeMat-Bulk: an optimized crystal structure of PuTh2OsC4 (PBE).

Cell lengths 3.5842, 6.3312, 12.6535 Å; angles 90.00, 90.00, 106.44 degrees
With the nearest neighbours (Å) after each atom.
Atoms (fractional coordinates):
Pu (0.1041, 0.2083, 0.7500)  6 C 2.75-2.88
Pu (0.8959, 0.7917, 0.2500)  6 C 2.75-2.88
Th (0.3662, 0.7323, 0.5400)  6 C 2.47-2.73
Th (0.6338, 0.2677, 0.0400)  6 C 2.47-2.73
Th (0.6338, 0.2677, 0.4600)  6 C 2.47-2.73
Th (0.3662, 0.7323, 0.9600)  6 C 2.47-2.73
Os (0.8384, 0.6768, 0.7500)  4 C 1.94-2.04
Os (0.1616, 0.3232, 0.2500)  4 C 1.94-2.04
C (0.2697, 0.5395, 0.1377)  1 Os 1.94
C (0.7303, 0.4605, 0.6377)  1 Os 1.94
C (0.7303, 0.4605, 0.8623)  1 Os 1.94
C (0.2697, 0.5395, 0.3623)  1 Os 1.94
C (0.0000, 0.0000, 0.5000)  4 Th 2.47
C (0.0000, 0.0000, 0.0000)  4 Th 2.47
C (0.4187, 0.8375, 0.7500)  2 Os 2.04
C (0.5813, 0.1625, 0.2500)  2 Os 2.04

- Total DFT energy (no corrections): -9.5566 eV per atom
- ΔH_f (0 K): 0.106 eV per atom


Record 3
Entry from Alexandria via LeMat-Bulk: an optimized crystal structure of Pu2UOsC4 (PBE).

Cell lengths 3.3864, 6.0267, 11.8529 Å; angles 90.00, 90.00, 106.32 degrees
With the nearest neighbours (Å) after each atom.
Atoms (fractional coordinates):
Pu (0.3661, 0.7322, 0.5455)  5 C 2.36-2.58
Pu (0.6339, 0.2678, 0.0455)  5 C 2.36-2.58
Pu (0.6339, 0.2678, 0.4545)  5 C 2.36-2.58
Pu (0.3661, 0.7322, 0.9545)  5 C 2.36-2.58
U (0.1114, 0.2229, 0.7500)  6 C 2.46-2.54
U (0.8886, 0.7771, 0.2500)  6 C 2.46-2.54
Os (0.8541, 0.7081, 0.7500)  4 C 2.02-2.07
Os (0.1459, 0.2919, 0.2500)  4 C 2.02-2.07
C (0.2749, 0.5497, 0.1353)  1 Os 2.02
C (0.7251, 0.4503, 0.6353)  1 Os 2.02
C (0.7251, 0.4503, 0.8647)  1 Os 2.02
C (0.2749, 0.5497, 0.3647)  1 Os 2.02
C (0.0000, 0.0000, 0.5000)  4 Pu 2.36
C (0.0000, 0.0000, 0.0000)  4 Pu 2.36
C (0.4573, 0.9145, 0.7500)  2 Os 2.07
C (0.5427, 0.0855, 0.2500)  2 Os 2.07

- Total DFT energy (no corrections): -10.8533 eV per atom
- ΔH_f (0 K): 0.156 eV per atom


Record 4
Entry from Alexandria via LeMat-Bulk: an optimized crystal structure of RbOsC3 (PBE).

Cell lengths 4.1228, 4.1228, 4.1228 Å; angles 90.00, 90.00, 90.00 degrees
With the nearest neighbours (Å) after each atom.
Atoms (fractional coordinates):
C (0.0000, 0.5000, 0.0000)  2 Rb 2.06
C (0.0000, 0.0000, 0.5000)  2 Rb 2.06
C (0.5000, 0.0000, 0.0000)  2 Rb 2.06
Os (0.5000, 0.5000, 0.5000)  12 C 2.92
Rb (0.0000, 0.0000, 0.0000)  6 C 2.06

- Polymorph energy (0 for the lowest one): 317.9 kJ/mol of atoms
- Total DFT energy (no corrections): -2.9954 eV per atom
- ΔH_f (0 K): 4.978 eV per atom


Record 5
Entry from Alexandria via LeMat-Bulk: an optimized crystal structure of RbOsC2 (PBE).

Cell lengths 4.2466, 4.2466, 4.2466 Å; angles 60.00, 60.00, 60.00 degrees
With the nearest neighbours (Å) after each atom.
Atoms (fractional coordinates):
C (0.2500, 0.2500, 0.2500)  4 Os 2.60, 4 Rb 2.60
C (0.7500, 0.7500, 0.7500)  4 Os 2.60, 4 Rb 2.60
Os (0.5000, 0.5000, 0.5000)  8 C 2.60
Rb (0.0000, 0.0000, 0.0000)  8 C 2.60

- Polymorph energy (0 for the lowest one): 248.0 kJ/mol of atoms
- Total DFT energy (no corrections): -4.5795 eV per atom
- ΔH_f (0 K): 3.082 eV per atom


Record 6
Entry from Alexandria via LeMat-Bulk: an optimized crystal structure of Rb2OsC (PBE).

Cell lengths 12.4066, 12.4066, 8.9836 Å; angles 46.33, 46.33, 90.00 degrees
With the nearest neighbours (Å) after each atom.
Atoms (fractional coordinates):
C (0.5000, 0.5000, 0.0000)  2 Os 1.93
C (0.2500, 0.7500, 0.5000)  2 Os 1.93
Os (0.0000, 0.0000, 0.0000)  2 C 1.93
Os (0.7500, 0.2500, 0.5000)  2 C 1.93
Rb (0.4008, 0.1250, 0.2500)  2 C 3.16, 2 Os 3.44
Rb (0.3492, 0.6250, 0.2500)  2 C 3.16, 2 Os 3.44
Rb (0.3750, 0.5992, 0.7500)  2 C 3.16, 2 Os 3.44
Rb (0.8750, 0.6508, 0.7500)  2 C 3.16, 2 Os 3.44

- Total DFT energy (no corrections): -4.7201 eV per atom
- ΔH_f (0 K): 0.877 eV per atom


Record 7
Entry from Alexandria via LeMat-Bulk: an optimized crystal structure of RbOs2C (PBE).

Cell lengths 6.3030, 6.3030, 6.3018 Å; angles 59.99, 59.99, 90.00 degrees
With the nearest neighbours (Å) after each atom.
Atoms (fractional coordinates):
C (0.5000, 0.5000, 0.0000)  4 Os 1.93
C (0.2500, 0.7500, 0.5000)  4 Os 1.93
Os (0.3749, 0.1250, 0.2500)  2 C 1.93
Os (0.3751, 0.6250, 0.2500)  2 C 1.93
Os (0.3750, 0.6251, 0.7500)  2 C 1.93
Os (0.8750, 0.6249, 0.7500)  2 C 1.93
Rb (0.0000, 0.0000, 0.0000)  12 Os 3.69-3.70, 4 Rb 3.86, 4 C 3.86
Rb (0.7500, 0.2500, 0.5000)  12 Os 3.69-3.70, 4 Rb 3.86, 4 C 3.86

- Total DFT energy (no corrections): -6.8259 eV per atom
- ΔH_f (0 K): 1.337 eV per atom


Record 8
Entry from Alexandria via LeMat-Bulk: an optimized crystal structure of RbOsC2 (PBE).

Cell lengths 6.1620, 6.1620, 6.1693 Å; angles 60.04, 60.04, 90.00 degrees
With the nearest neighbours (Å) after each atom.
Atoms (fractional coordinates):
C (0.8745, 0.1250, 0.2500)  2 Os 1.89
C (0.8755, 0.6250, 0.2500)  2 Os 1.89
C (0.3750, 0.1255, 0.7500)  2 Os 1.89
C (0.8750, 0.1245, 0.7500)  2 Os 1.89
Os (0.0000, 0.0000, 0.0000)  4 C 1.89
Os (0.7500, 0.2500, 0.5000)  4 C 1.89
Rb (0.5000, 0.5000, 0.0000)  12 C 3.61-3.62, 4 Os 3.78, 4 Rb 3.78
Rb (0.2500, 0.7500, 0.5000)  12 C 3.61-3.62, 4 Rb 3.78, 4 Os 3.78

- Polymorph energy (0 for the lowest one): 0.0 kJ/mol of atoms
- Total DFT energy (no corrections): -7.1495 eV per atom
- ΔH_f (0 K): 0.512 eV per atom


Record 9
Entry from Alexandria via LeMat-Bulk: an optimized crystal structure of RbOsC3 (PBE).

Cell lengths 4.1169, 4.1169, 4.1169 Å; angles 90.00, 90.00, 90.00 degrees
With the nearest neighbours (Å) after each atom.
Atoms (fractional coordinates):
C (0.0000, 0.5000, 0.0000)  2 Os 2.06
C (0.0000, 0.0000, 0.5000)  2 Os 2.06
C (0.5000, 0.0000, 0.0000)  2 Os 2.06
Os (0.0000, 0.0000, 0.0000)  6 C 2.06
Rb (0.5000, 0.5000, 0.5000)  12 C 2.91

- Polymorph energy (0 for the lowest one): 0.0 kJ/mol of atoms
- Total DFT energy (no corrections): -6.2902 eV per atom
- ΔH_f (0 K): 1.684 eV per atom


Record 10
Entry from Alexandria via LeMat-Bulk: an optimized crystal structure of RbRe2OsC (PBE).

Cell lengths 4.7122, 4.0061, 4.7122 Å; angles 90.00, 90.00, 90.00 degrees
With the nearest neighbours (Å) after each atom.
Atoms (fractional coordinates):
Re (0.0000, 0.0000, 0.5000)  2 Rb 2.36
Re (0.5000, 0.0000, 0.0000)  2 Rb 2.36
C (0.0000, 0.5000, 0.0000)  2 Rb 2.00
Os (0.5000, 0.5000, 0.5000)  8 Re 3.09, 4 C 3.33
Rb (0.0000, 0.0000, 0.0000)  2 C 2.00

- Total DFT energy (no corrections): -4.5745 eV per atom
- ΔH_f (0 K): 4.689 eV per atom


Record 11
Entry from Alexandria via LeMat-Bulk: an optimized crystal structure of RbOsC2Se (PBE).

Cell lengths 4.0403, 7.3957, 4.0403 Å; angles 90.00, 90.00, 90.00 degrees
With the nearest neighbours (Å) after each atom.
Atoms (fractional coordinates):
C (0.0000, 0.0000, 0.5000)  2 Os 2.02
C (0.5000, 0.0000, 0.0000)  2 Os 2.02
Os (0.0000, 0.0000, 0.0000)  4 C 2.02
Se (0.5000, 0.5000, 0.5000)  4 Rb 2.86
Rb (0.0000, 0.5000, 0.0000)  4 Se 2.86

- Total DFT energy (no corrections): -5.2805 eV per atom
- Formation energy from raw total energies: 1.55 eV per atom


Record 12
Entry from Alexandria via LeMat-Bulk: an optimized crystal structure of RbSiOs2C (PBE).

Cell lengths 4.0598, 5.3833, 4.0598 Å; angles 90.00, 90.00, 90.00 degrees
With the nearest neighbours (Å) after each atom.
Atoms (fractional coordinates):
Si (0.5000, 0.5000, 0.5000)  4 Rb 2.87
Os (0.0000, 0.0000, 0.5000)  2 C 2.03
Os (0.5000, 0.0000, 0.0000)  2 C 2.03
C (0.0000, 0.0000, 0.0000)  4 Os 2.03
Rb (0.0000, 0.5000, 0.0000)  2 C 2.69, 4 Si 2.87

- Total DFT energy (no corrections): -6.2400 eV per atom
- Formation energy from raw total energies: 1.37 eV per atom


Record 13
Entry from Alexandria via LeMat-Bulk: an optimized crystal structure of RbSnOsC2 (PBE).

Cell lengths 4.1558, 5.3964, 4.1558 Å; angles 90.00, 90.00, 90.00 degrees
With the nearest neighbours (Å) after each atom.
Atoms (fractional coordinates):
C (0.0000, 0.0000, 0.5000)  2 Os 2.08
C (0.5000, 0.0000, 0.0000)  2 Os 2.08
Os (0.0000, 0.0000, 0.0000)  4 C 2.08
Sn (0.0000, 0.5000, 0.0000)  2 Os 2.70, 4 Rb 2.94
Rb (0.5000, 0.5000, 0.5000)  4 Sn 2.94

- Total DFT energy (no corrections): -5.4787 eV per atom
- ΔH_f (0 K): 1.451 eV per atom